(1)
VASP calculation (PBE) on crystalline ZrMn2Br at its relaxed geometry.

Values from the calculation:
Calculated total energy: -27.71 eV/f.u.
Formation energy from raw total energies: 0.211 eV/atom
Energy above the most stable polymorph in this dataset: 166 meV per atom
SG: Cmmm (65)

a = 4.083 Å, b = 4.934 Å, c = 7.998 Å
α = 90.00°, β = 90.00°, γ = 90.00°
Fractional positions:
Zr 0.000 0.000 0.000
Zr 0.500 0.500 0.000
Mn 0.000 0.500 0.245
Mn 0.000 0.500 0.755
Mn 0.500 0.000 0.245
Mn 0.500 0.000 0.755
Br 0.000 0.000 0.500
Br 0.500 0.500 0.500

***

(2)
VASP calculation (PBE) on crystalline ZnCo2Au at its relaxed geometry.

Values from the calculation:
Calculated total energy: -17.27 eV/f.u.
SG: I-42d (122)
ΔH_f (0 K): 373 meV per atom

a = 3.611 Å, b = 3.611 Å, c = 18.233 Å
α = 90.00°, β = 90.00°, γ = 90.00°
Fractional positions:
Zn 0.000 0.000 0.000
Zn 0.000 0.500 0.250
Zn 0.500 0.000 0.750
Zn 0.500 0.500 0.500
Co 0.211 0.250 0.125
Co 0.250 0.711 0.375
Co 0.250 0.789 0.875
Co 0.289 0.250 0.625
Co 0.711 0.750 0.625
Co 0.750 0.211 0.875
Co 0.750 0.289 0.375
Co 0.789 0.750 0.125
Au 0.000 0.000 0.500
Au 0.000 0.500 0.750
Au 0.500 0.000 0.250
Au 0.500 0.500 0.000